Below is a geometry-optimized K2TlFeCl6 structure, with properties calculated at the PBE level.

raw formation energy = -1.21 eV per atom
N(E_F) = 10.92 states/eV/f.u.

a b c (Å): 7.2543 7.5160 10.3872
angles (deg): 90.00 90.86 90.00
Closest atoms and distances in Å follow each position.
Sites, in units of the cell vectors:
Cl 0.7592 0.8353 0.5495  1 Fe 2.30
K 0.9791 0.0703 0.7547  6 Cl 3.18-3.43
K 0.5209 0.5703 0.7453  6 Cl 3.18-3.43
Cl 0.9037 0.5239 0.2093  1 Fe 2.30
Cl 0.2408 0.1647 0.4505  1 Fe 2.30
Cl 0.6564 0.2586 0.5516  1 Fe 2.31
Cl 0.4037 0.9761 0.7093  1 Fe 2.30
Cl 0.2592 0.6647 0.0495  1 Fe 2.30
Fe 0.5000 0.0000 0.5000  6 Cl 2.30-2.31
Cl 0.8436 0.7586 0.9484  1 Fe 2.31
K 0.4791 0.4297 0.2547  6 Cl 3.18-3.43
Cl 0.7408 0.3353 0.9505  1 Fe 2.30
Tl 0.0000 0.5000 0.5000  6 Cl 3.09-3.14
Cl 0.1564 0.2414 0.0516  1 Fe 2.31
Cl 0.0963 0.4761 0.7907  1 Fe 2.30
Cl 0.5963 0.0239 0.2907  1 Fe 2.30
Fe 0.0000 0.5000 0.0000  6 Cl 2.30-2.31
Tl 0.5000 0.0000 0.0000  6 Cl 3.09-3.14
Cl 0.3436 0.7414 0.4484  1 Fe 2.31
K 0.0209 0.9297 0.2453  6 Cl 3.18-3.43